Computed, not measured: a geometry-optimized CaZnMo2 structure at the PBE level of DFT.

Cell and atoms, written as CIF:
```
data_CaZnMo2
_cell_length_a 3.901
_cell_length_b 3.901
_cell_length_c 9.611
_cell_angle_alpha 90.00
_cell_angle_beta 90.00
_cell_angle_gamma 90.00
_symmetry_space_group_name_H-M 'I 4/m m m'
_symmetry_Int_Tables_number 139
_symmetry_space_group_name_Hall '-I 4 2'
loop_
_atom_site_label
_atom_site_fract_x
_atom_site_fract_y
_atom_site_fract_z
Ca1 0.000 0.000 0.000
Zn1 0.000 0.000 0.500
Mo1 0.000 0.500 0.250
```

Results
Energy   -0.2070 hartree per atom

---

Computed, not measured: a geometry-optimized CaZnMo2 structure at the PBE level of DFT.

Cell and atoms, written as CIF:
```
data_CaZnMo2
_cell_length_a 3.365
_cell_length_b 4.617
_cell_length_c 9.376
_cell_angle_alpha 90.00
_cell_angle_beta 90.00
_cell_angle_gamma 90.00
_symmetry_space_group_name_H-M 'C m m 2'
_symmetry_Int_Tables_number 35
_symmetry_space_group_name_Hall 'C 2 -2'
loop_
_atom_site_label
_atom_site_fract_x
_atom_site_fract_y
_atom_site_fract_z
Ca1 0.000 0.000 0.000
Zn1 0.000 0.500 0.729
Mo1 0.000 0.000 0.498
Mo2 0.000 0.500 0.281
```

Results
Energy   -0.2147 hartree per atom

---

Computed, not measured: a geometry-optimized CaZnMo2 structure at the PBE level of DFT.

Cell and atoms, written as CIF:
```
data_CaZnMo2
_cell_length_a 3.898
_cell_length_b 3.898
_cell_length_c 4.767
_cell_angle_alpha 90.00
_cell_angle_beta 90.00
_cell_angle_gamma 90.00
_symmetry_space_group_name_H-M 'P 4/m m m'
_symmetry_Int_Tables_number 123
_symmetry_space_group_name_Hall '-P 4 2'
loop_
_atom_site_label
_atom_site_fract_x
_atom_site_fract_y
_atom_site_fract_z
Ca1 0.000 0.000 0.000
Zn1 0.500 0.500 0.000
Mo1 0.000 0.500 0.500
```

Results
Energy   -0.2083 hartree per atom

---

Asked for energy of formation from the pure elements across the records above, the calculation gives 601; 393; 566 meV/atom in order.
Asked for density of states at the Fermi level across the records above, the calculation gives 0.90; 0.87; 0.77 states/eV per atom in order.